Record 1
Computed, not measured: a relaxed Cu2Hg3I8 crystal at the PBE level of DFT.

## Properties
- Formation energy without anion corrections: -0.21 eV/atom

Cell lengths 7.2198, 10.7534, 8.7265 Å; angles 128.03, 96.71, 90.00 degrees
Positions (direct):
Cu1 0.6047 0.6615 0.3231
Cu2 0.3953 0.3385 0.6769
Hg1 0.5000 0.0000 0.0000
Hg2 0.0000 0.6660 0.0000
Hg3 0.0000 0.3340 0.0000
I1 0.7551 0.3464 0.6928
I2 0.2449 0.6536 0.3072
I3 0.7364 0.8673 0.7346
I4 0.2636 0.1327 0.2654
I5 0.7392 0.4082 0.2461
I6 0.7392 0.8379 0.2461
I7 0.2608 0.1621 0.7539
I8 0.2608 0.5918 0.7539

Record 2
Computed, not measured: a relaxed TiV2CdH crystal at the PBE level of DFT.

## Properties
- Energy above the lowest structure with this stoichiometry: 143 meV/atom

Cell lengths 3.8439, 4.4862, 3.8439 Å; angles 90.00, 90.00, 90.00 degrees
Positions (direct):
H1 0.0000 0.0000 0.0000
V1 0.0000 0.0000 0.5000
V2 0.5000 0.0000 0.0000
Ti1 0.5000 0.5000 0.5000
Cd1 0.0000 0.5000 0.0000

Record 3
Computed, not measured: a relaxed P2RuS2 crystal at the PBE level of DFT.

## Properties
- Formation energy without anion corrections: 1.18 eV/atom
- Energy above the lowest structure with this stoichiometry: 431 meV/atom

Cell lengths 4.3541, 4.3541, 4.3024 Å; angles 90.00, 90.00, 90.00 degrees
Positions (direct):
Ru1 0.5000 0.5000 0.5000
S1 0.0000 0.0000 0.0000
S2 0.0000 0.0000 0.5000
P1 0.0000 0.5000 0.0000
P2 0.5000 0.0000 0.0000

Record 4
Computed, not measured: a relaxed K2TlCr crystal at the PBE level of DFT.

## Properties
- Energy above the lowest structure with this stoichiometry: 219 meV/atom

Cell lengths 6.0157, 6.0157, 6.0157 Å; angles 60.00, 60.00, 60.00 degrees
Last column: magnetic moment on the atom in μB.
Positions (direct):
Cr1 0.0000 0.0000 0.0000  4.24
Tl1 0.5000 0.5000 0.5000  -0.09
K1 0.2500 0.2500 0.2500  0.00
K2 0.7500 0.7500 0.7500  0.00

Record 5
Computed, not measured: a relaxed GaTcTe2 crystal at the PBE level of DFT.

## Properties
- Formation energy without anion corrections: 0.14 eV/atom

Cell lengths 10.3441, 10.3441, 10.3441 Å; angles 18.73, 18.73, 18.73 degrees
Positions (direct):
Te1 0.8960 0.8960 0.8960
Te2 0.1040 0.1040 0.1040
Tc1 0.5000 0.5000 0.5000
Ga1 0.0000 0.0000 0.0000

Record 6
Computed, not measured: a relaxed Ni2Ir3Rh3 crystal at the PBE level of DFT.

## Properties
- Energy above the lowest structure with this stoichiometry: 17 meV/atom

Cell lengths 2.7023, 5.1384, 16.3883 Å; angles 90.00, 90.00, 105.25 degrees
Positions (direct):
Ni1 0.7636 0.5271 0.6248
Ni2 0.2364 0.4729 0.1248
Ni3 0.7636 0.5271 0.8752
Ni4 0.2364 0.4729 0.3752
Ir1 0.6315 0.2630 0.0091
Ir2 0.3685 0.7370 0.5091
Ir3 0.6315 0.2630 0.4909
Ir4 0.3685 0.7370 0.9909
Ir5 0.3731 0.7461 0.2500
Ir6 0.6269 0.2539 0.7500
Rh1 0.9751 0.9501 0.1230
Rh2 0.0249 0.0499 0.6230
Rh3 0.9751 0.9501 0.3770
Rh4 0.0249 0.0499 0.8770
Rh5 0.6351 0.2702 0.2500
Rh6 0.3649 0.7298 0.7500

Record 7
Computed, not measured: a relaxed Ga2Sn3Pd8 crystal at the PBE level of DFT.

## Properties
- Energy: -4.89 eV per atom

Cell lengths 5.4268, 5.4268, 9.8623 Å; angles 74.03, 74.03, 60.00 degrees
Positions (direct):
Ga1 0.6278 0.6278 0.1167
Ga2 0.3722 0.3722 0.8833
Sn1 0.0000 0.0000 0.0000
Sn2 0.8077 0.8077 0.5769
Sn3 0.1923 0.1923 0.4231
Pd1 0.7138 0.7138 0.8585
Pd2 0.2862 0.2862 0.1415
Pd3 0.2224 0.7251 0.3275
Pd4 0.7251 0.2224 0.3275
Pd5 0.7251 0.7251 0.3275
Pd6 0.2749 0.7776 0.6725
Pd7 0.7776 0.2749 0.6725
Pd8 0.2749 0.2749 0.6725

Record 8
Computed, not measured: a relaxed LaTaMoOs crystal at the PBE level of DFT.

## Properties
- Energy above the lowest structure with this stoichiometry: 135 meV/atom

Cell lengths 4.3996, 3.6004, 11.2548 Å; angles 90.00, 96.25, 90.00 degrees
Positions (direct):
La1 0.8213 0.0000 0.0163
La2 0.8213 0.5000 0.5163
Ta1 0.2719 0.0000 0.3165
Ta2 0.2719 0.5000 0.8165
Mo1 0.3498 0.0000 0.6430
Mo2 0.3498 0.5000 0.1430
Os1 0.8535 0.0000 0.7579
Os2 0.8535 0.5000 0.2579

| no. | M_tot (μB/atom) |
| --- | --- |
| 1 | 0.00 |
| 2 | 0.00 |
| 3 | 0.00 |
| 4 | 1.16 |
| 5 | 0.00 |
| 6 | 0.00 |
| 7 | 0.00 |
| 8 | 0.00 |